[1]
Density functional theory data (PBE) for MgAlO3 after structural relaxation.

Summary:
**Density of states at the Fermi level**: 4.5 states/eV per cell
**V**: 10.444 A^3/atom
**Calculated total energy**: -4.92 eV per atom
**Uncorrected formation energy**: -0.88 eV per atom

a b c (Å): 3.7378 3.7378 3.7378
angles (deg): 90.00 90.00 90.00
With the nearest neighbours (Å) after each atom.
Space group Pm-3m (No. 221)
Symmetry-distinct sites (fractional):
Mg1 0.0000 0.0000 0.0000 (multiplicity 1)  6 O 1.87
Al1 0.5000 0.5000 0.5000 (multiplicity 1)  12 O 2.64
O1 0.0000 0.0000 0.5000 (multiplicity 3)  2 Mg 1.87

[2]
Density functional theory data (PBE) for Tb7YEr5 after structural relaxation.

Summary:
**Density of states at the Fermi level**: 52.2 states/eV per cell
**V**: 32.799 A^3/atom
**Calculated total energy**: -4.50 eV per atom
**Energy of formation from the pure elements**: 249 meV/atom
**Relative energy among the computed polymorphs**: 0.003 eV/atom

a b c (Å): 6.6326 11.2121 11.4674
angles (deg): 90.00 90.00 90.00
With the nearest neighbours (Å) after each atom.
Space group Imm2 (No. 44)
Symmetry-distinct sites (fractional):
Tb1 0.0000 0.0000 0.0000 (multiplicity 2)  6 Er 3.32-3.51, 1 Tb 3.49, 1 Y 3.56
Tb2 0.0000 0.0000 0.3048 (multiplicity 2)  7 Tb 3.49-3.89, 4 Er 3.72
Tb3 0.0000 0.3250 0.2454 (multiplicity 4)  5 Er 3.42-3.44, 4 Tb 3.46-3.75
Tb4 0.0000 0.3302 0.7438 (multiplicity 4)  5 Er 3.43-3.47, 4 Tb 3.47-3.81, 1 Y 3.75
Tb5 0.0000 0.5000 0.9971 (multiplicity 2)  4 Er 3.12, 4 Tb 3.46-3.47
Y1 0.0000 0.0000 0.6898 (multiplicity 2)  7 Tb 3.56-3.91, 4 Er 3.74
Er1 0.0000 0.5000 0.4907 (multiplicity 2)  6 Tb 3.32-3.47, 4 Er 3.41
Er2 0.2342 0.2292 0.4958 (multiplicity 8)  2 Er 3.11-3.41, 5 Tb 3.12-3.45